i:
# Ca2AgS2, optimized geometry, DFT PBE
data_Ca2AgS2
_space_group_name_H-M_alt 'P 1'
_space_group_IT_number 1
_cell_length_a 5.342
_cell_length_b 5.342
_cell_length_c 6.551
_cell_angle_alpha 65.94
_cell_angle_beta 65.94
_cell_angle_gamma 90.00
loop_
_space_group_symop_operation_xyz
'x,y,z'
loop_
_atom_site_label
_atom_site_type_symbol
_atom_site_fract_x
_atom_site_fract_y
_atom_site_fract_z
Ca1 Ca 0.296 0.296 0.408
Ca2 Ca 0.704 0.704 0.592
S1 S 0.750 0.250 0.500
S2 S 0.250 0.750 0.500
Ag1 Ag 0.000 0.000 0.000
# Crystal system: tetragonal
# Calculated volume: 152.7 Å³ per cell
# SG: I4/mmm, No. 139

=====

ii:
# Ca2AgS2, optimized geometry, DFT PBE
data_Ca2AgS2
_space_group_name_H-M_alt 'P 1'
_space_group_IT_number 1
_cell_length_a 7.934
_cell_length_b 7.934
_cell_length_c 3.567
_cell_angle_alpha 90.00
_cell_angle_beta 90.00
_cell_angle_gamma 90.00
loop_
_space_group_symop_operation_xyz
'x,y,z'
loop_
_atom_site_label
_atom_site_type_symbol
_atom_site_fract_x
_atom_site_fract_y
_atom_site_fract_z
Ca1 Ca 0.352 0.852 0.000
Ca2 Ca 0.852 0.648 0.000
Ca3 Ca 0.648 0.148 0.000
Ca4 Ca 0.148 0.352 0.000
S1 S 0.156 0.656 0.500
S2 S 0.656 0.844 0.500
S3 S 0.844 0.344 0.500
S4 S 0.344 0.156 0.500
Ag1 Ag 0.000 0.000 0.000
Ag2 Ag 0.500 0.500 0.000
# Crystal system: tetragonal
# Calculated volume: 224.5 Å³ per cell
# SG: P4/mbm, No. 127

=====

iii:
# Ca2AgS2, optimized geometry, DFT PBE
data_Ca2AgS2
_space_group_name_H-M_alt 'P 1'
_space_group_IT_number 1
_cell_length_a 7.692
_cell_length_b 7.692
_cell_length_c 3.670
_cell_angle_alpha 90.00
_cell_angle_beta 90.00
_cell_angle_gamma 90.00
loop_
_space_group_symop_operation_xyz
'x,y,z'
loop_
_atom_site_label
_atom_site_type_symbol
_atom_site_fract_x
_atom_site_fract_y
_atom_site_fract_z
Ca1 Ca 0.156 0.656 0.500
Ca2 Ca 0.656 0.844 0.500
Ca3 Ca 0.844 0.344 0.500
Ca4 Ca 0.344 0.156 0.500
S1 S 0.346 0.846 0.000
S2 S 0.846 0.654 0.000
S3 S 0.654 0.154 0.000
S4 S 0.154 0.346 0.000
Ag1 Ag 0.000 0.000 0.000
Ag2 Ag 0.500 0.500 0.000
# Crystal system: tetragonal
# Calculated volume: 217.1 Å³ per cell
# SG: P4/mbm, No. 127

=====

Most stable structure, least stable structure: iii, i.